# Pa3Se4 | Alexandria via LeMat-Bulk | PBE | optimized geometry
data_Pa3Se4
_cell_length_a 4.0839
_cell_length_b 4.0839
_cell_length_c 41.4145
_cell_angle_alpha 90.00
_cell_angle_beta 90.00
_cell_angle_gamma 120.00
_symmetry_space_group_name_H-M 'R -3 m'
_symmetry_Int_Tables_number 166
_symmetry_space_group_name_Hall '-R 3 2"'
loop_
_atom_site_label
_atom_site_fract_x
_atom_site_fract_y
_atom_site_fract_z
Pa1 0.0000 0.0000 0.0000
Pa2 0.0000 0.0000 0.0851
Se1 0.0000 0.0000 0.2101
Se2 0.0000 0.0000 0.3755
# Excess energy over the best structure of this formula in the dataset: 49 meV per atom